# Rb4Sr3TcO8 GGA-PBE relaxed
data_Rb4Sr3TcO8
_symmetry_space_group_name_H-M 'R -3 m'
_symmetry_Int_Tables_number 166
_symmetry_space_group_name_Hall '-R 3 2"'
_cell_length_a 7.2390
_cell_length_b 7.2390
_cell_length_c 19.4489
_cell_angle_alpha 90.00
_cell_angle_beta 90.00
_cell_angle_gamma 120.00
loop_
_atom_site_label
_atom_site_type_symbol
_atom_site_fract_x
_atom_site_fract_y
_atom_site_fract_z
Rb1 Rb 0.0000 0.0000 0.0000
Rb2 Rb 0.0000 0.5000 0.0000
Sr1 Sr 0.0000 0.5000 0.5000
Tc1 Tc 0.0000 0.0000 0.5000
O1 O 0.0000 0.0000 0.2316
O2 O 0.0688 0.5344 0.2241
# Formation energy from raw total energies   -1.82 eV/atom